(1)
CeGa2Rh: optimized geometry, PBE-GGA.

Properties
Density (Mg/m³): 8.45
Magnetic moment (μB/cell): 0.98
ΔH_f (0 K) (eV per atom): -0.352

Structure (CIF):
```
data_CeGa2Rh
_chemical_formula_sum 'Ce3 Ga6 Rh3'
_cell_length_a 3.1291
_cell_length_b 3.1291
_cell_length_c 26.5769
_cell_angle_alpha 90.00
_cell_angle_beta 90.00
_cell_angle_gamma 120.00
_space_group_name_H-M_alt 'R -3 m'
_space_group_IT_number 166
_space_group_name_Hall '-R 3 2"'
loop_
_atom_site_label
_atom_site_fract_x
_atom_site_fract_y
_atom_site_fract_z
_atom_site_occupancy
Ce1 0.0000 0.0000 0.0000 1
Ga1 0.0000 0.0000 0.2348 1
Rh1 0.0000 0.0000 0.5000 1
```

=====

(2)
CeGaRuRh: optimized geometry, PBE-GGA.

Properties
Density (Mg/m³): 10.05
Magnetic moment (μB/cell): 0.00
ΔH_f (0 K) (eV per atom): -0.618
ΔE to the lowest computed polymorph (meV/atom): 0.0

Structure (CIF):
```
data_CeGaRuRh
_chemical_formula_sum 'Ce1 Ga1 Ru1 Rh1'
_cell_length_a 3.617
_cell_length_b 4.197
_cell_length_c 4.503
_cell_angle_alpha 90.00
_cell_angle_beta 90.00
_cell_angle_gamma 90.00
_space_group_name_H-M_alt 'P m m m'
_space_group_IT_number 47
loop_
_space_group_symop_operation_xyz
'x,y,z'
'-x,-y,-z'
'-x,-y,z'
'x,y,-z'
'x,-y,-z'
'-x,y,z'
'-x,y,-z'
'x,-y,z'
loop_
_atom_site_label
_atom_site_fract_x
_atom_site_fract_y
_atom_site_fract_z
_atom_site_occupancy
Ce1 0.000 0.000 0.000 1
Ga1 0.000 0.500 0.500 1
Ru1 0.500 0.500 0.000 1
Rh1 0.500 0.000 0.500 1
```

=====

(3)
Ce2Ga5Ru2Rh: optimized geometry, PBE-GGA.

Properties
Density (Mg/m³): 8.75
Magnetic moment (μB/cell): 1.70
ΔH_f (0 K) (eV per atom): -0.455

Structure (CIF):
```
data_Ce2Ga5Ru2Rh
_chemical_formula_sum 'Ce4 Ga10 Ru4 Rh2'
_cell_length_a 10.665
_cell_length_b 10.665
_cell_length_c 3.116
_cell_angle_alpha 90.00
_cell_angle_beta 90.00
_cell_angle_gamma 90.00
_space_group_name_H-M_alt 'P 4/m b m'
_space_group_IT_number 127
_space_group_name_Hall '-P 4 2ab'
loop_
_atom_site_label
_atom_site_fract_x
_atom_site_fract_y
_atom_site_fract_z
_atom_site_occupancy
Ce1 0.184 0.316 0.000 1
Ga1 0.000 0.500 0.500 1
Ga2 0.049 0.810 0.500 1
Ru1 0.135 0.635 0.000 1
Rh1 0.000 0.000 0.000 1
```

=====

(4)
CeGaRuRh: optimized geometry, PBE-GGA.

Properties
Density (Mg/m³): 9.89
Magnetic moment (μB/cell): 0.32
ΔH_f (0 K) (eV per atom): -0.567
ΔE to the lowest computed polymorph (meV/atom): 50.3

Structure (CIF):
```
data_CeGaRuRh
_chemical_formula_sum 'Ce4 Ga4 Ru4 Rh4'
_cell_length_a 6.526
_cell_length_b 6.526
_cell_length_c 6.526
_cell_angle_alpha 90.00
_cell_angle_beta 90.00
_cell_angle_gamma 90.00
_space_group_name_H-M_alt 'F -4 3 m'
_space_group_IT_number 216
_space_group_name_Hall 'F -4 2 3'
loop_
_atom_site_label
_atom_site_fract_x
_atom_site_fract_y
_atom_site_fract_z
_atom_site_occupancy
Ce1 0.000 0.000 0.000 1
Ga1 0.000 0.000 0.500 1
Ru1 0.250 0.250 0.250 1
Rh1 0.250 0.250 0.750 1
```

=====

(5)
Ce2GaSb3Rh4: optimized geometry, PBE-GGA.

Properties
Density (Mg/m³): 9.05
Magnetic moment (μB/cell): 1.46
Formation energy from raw total energies (kJ per mole of atoms): -76.9

Structure (CIF):
```
data_Ce2GaSb3Rh4
_chemical_formula_sum 'Ce2 Ga1 Sb3 Rh4'
_cell_length_a 4.390
_cell_length_b 4.390
_cell_length_c 10.724
_cell_angle_alpha 90.00
_cell_angle_beta 90.00
_cell_angle_gamma 90.00
_space_group_name_H-M_alt 'P -4 m 2'
_space_group_IT_number 115
loop_
_space_group_symop_operation_xyz
'x,y,z'
'y,-x,-z'
'-x,-y,z'
'-y,x,-z'
'-x,y,z'
'-y,-x,-z'
'x,-y,z'
'y,x,-z'
loop_
_atom_site_label
_atom_site_fract_x
_atom_site_fract_y
_atom_site_fract_z
_atom_site_occupancy
Ce1 0.000 0.500 0.243 1
Ga1 0.500 0.500 0.000 1
Sb1 0.000 0.000 0.000 1
Sb2 0.000 0.500 0.636 1
Rh1 0.000 0.000 0.500 1
Rh2 0.000 0.500 0.874 1
Rh3 0.500 0.500 0.500 1
```

=====

(6)
CeScGaRh: optimized geometry, PBE-GGA.

Properties
Density (Mg/m³): 7.25
Magnetic moment (μB/cell): 1.03
ΔH_f (0 K) (eV per atom): -0.580

Structure (CIF):
```
data_CeScGaRh
_chemical_formula_sum 'Ce4 Sc4 Ga4 Rh4'
_cell_length_a 6.896
_cell_length_b 6.896
_cell_length_c 6.896
_cell_angle_alpha 90.00
_cell_angle_beta 90.00
_cell_angle_gamma 90.00
_space_group_name_H-M_alt 'F -4 3 m'
_space_group_IT_number 216
_space_group_name_Hall 'F -4 2 3'
loop_
_atom_site_label
_atom_site_fract_x
_atom_site_fract_y
_atom_site_fract_z
_atom_site_occupancy
Ce1 0.000 0.000 0.000 1
Sc1 0.000 0.000 0.500 1
Ga1 0.250 0.250 0.250 1
Rh1 0.250 0.250 0.750 1
```

=====

(7)
Ce4GaSi3Rh12: optimized geometry, PBE-GGA.

Properties
Density (Mg/m³): 8.75
Magnetic moment (μB/cell): 6.30
Formation energy from raw total energies (kJ per mole of atoms): -51.9

Structure (CIF):
```
data_Ce4GaSi3Rh12
_chemical_formula_sum 'Ce8 Ga2 Si6 Rh24'
_cell_length_a 9.044
_cell_length_b 9.044
_cell_length_c 9.044
_cell_angle_alpha 90.00
_cell_angle_beta 90.00
_cell_angle_gamma 90.00
_space_group_name_H-M_alt 'I m -3 m'
_space_group_IT_number 229
_space_group_name_Hall '-I 4 2 3'
loop_
_atom_site_label
_atom_site_fract_x
_atom_site_fract_y
_atom_site_fract_z
_atom_site_occupancy
Ce1 0.250 0.250 0.250 1
Ga1 0.000 0.000 0.000 1
Si1 0.000 0.000 0.500 1
Rh1 0.000 0.000 0.257 1
Rh2 0.000 0.250 0.500 1
```

=====

(8)
CeGa2SiRh2: optimized geometry, PBE-GGA.

Properties
Density (Mg/m³): 7.47
Magnetic moment (μB/cell): 1.20
Formation energy from raw total energies (kJ per mole of atoms): -50.6

Structure (CIF):
```
data_CeGa2SiRh2
_chemical_formula_sum 'Ce1 Ga2 Si1 Rh2'
_cell_length_a 4.507
_cell_length_b 4.507
_cell_length_c 5.622
_cell_angle_alpha 90.00
_cell_angle_beta 90.00
_cell_angle_gamma 90.00
_space_group_name_H-M_alt 'P 4/m m m'
_space_group_IT_number 123
_space_group_name_Hall '-P 4 2'
loop_
_atom_site_label
_atom_site_fract_x
_atom_site_fract_y
_atom_site_fract_z
_atom_site_occupancy
Ce1 0.000 0.000 0.000 1
Ga1 0.500 0.500 0.237 1
Si1 0.000 0.000 0.500 1
Rh1 0.000 0.500 0.500 1
```

=====

(9)
Ce2GaSi4Rh3: optimized geometry, PBE-GGA.

Properties
Density (Mg/m³): 7.40
Magnetic moment (μB/cell): 0.00
Formation energy from raw total energies (kJ per mole of atoms): -86.9

Structure (CIF):
```
data_Ce2GaSi4Rh3
_chemical_formula_sum 'Ce2 Ga1 Si4 Rh3'
_cell_length_a 4.146
_cell_length_b 4.146
_cell_length_c 10.066
_cell_angle_alpha 90.00
_cell_angle_beta 90.00
_cell_angle_gamma 90.00
_space_group_name_H-M_alt 'P -4 m 2'
_space_group_IT_number 115
loop_
_space_group_symop_operation_xyz
'x,y,z'
'y,-x,-z'
'-x,-y,z'
'-y,x,-z'
'-x,y,z'
'-y,-x,-z'
'x,-y,z'
'y,x,-z'
loop_
_atom_site_label
_atom_site_fract_x
_atom_site_fract_y
_atom_site_fract_z
_atom_site_occupancy
Ce1 0.000 0.500 0.244 1
Ga1 0.000 0.000 0.500 1
Si1 0.000 0.000 0.000 1
Si2 0.000 0.500 0.642 1
Si3 0.500 0.500 0.000 1
Rh1 0.000 0.500 0.878 1
Rh2 0.500 0.500 0.500 1
```

=====

(10)
CeGa2SiRh: optimized geometry, PBE-GGA.

Properties
Density (Mg/m³): 7.58
Magnetic moment (μB/cell): 0.97
Formation energy from raw total energies (kJ per mole of atoms): -65.2

Structure (CIF):
```
data_CeGa2SiRh
_chemical_formula_sum 'Ce2 Ga4 Si2 Rh2'
_cell_length_a 4.075
_cell_length_b 4.116
_cell_length_c 10.722
_cell_angle_alpha 90.00
_cell_angle_beta 90.00
_cell_angle_gamma 90.00
_space_group_name_H-M_alt 'I m m 2'
_space_group_IT_number 44
loop_
_space_group_symop_operation_xyz
'x,y,z'
'-x,-y,z'
'-x,y,z'
'x,-y,z'
'x+1/2,y+1/2,z+1/2'
'-x+1/2,-y+1/2,z+1/2'
'-x+1/2,y+1/2,z+1/2'
'x+1/2,-y+1/2,z+1/2'
loop_
_atom_site_label
_atom_site_fract_x
_atom_site_fract_y
_atom_site_fract_z
_atom_site_occupancy
Ce1 0.000 0.000 0.000 1
Ga1 0.000 0.000 0.382 1
Ga2 0.000 0.500 0.246 1
Si1 0.000 0.000 0.609 1
Rh1 0.000 0.500 0.732 1
```

=====

(11)
Ce2GaSiRh6: optimized geometry, PBE-GGA.

Properties
Density (Mg/m³): 8.83
Magnetic moment (μB/cell): 4.93
Formation energy from raw total energies (kJ per mole of atoms): -45.1

Structure (CIF):
```
data_Ce2GaSiRh6
_chemical_formula_sum 'Ce8 Ga4 Si4 Rh24'
_cell_length_a 9.080
_cell_length_b 9.080
_cell_length_c 9.080
_cell_angle_alpha 90.00
_cell_angle_beta 90.00
_cell_angle_gamma 90.00
_space_group_name_H-M_alt 'F m -3 m'
_space_group_IT_number 225
_space_group_name_Hall '-F 4 2 3'
loop_
_atom_site_label
_atom_site_fract_x
_atom_site_fract_y
_atom_site_fract_z
_atom_site_occupancy
Ce1 0.250 0.250 0.250 1
Ga1 0.000 0.000 0.000 1
Si1 0.000 0.000 0.500 1
Rh1 0.000 0.000 0.256 1
```

=====

(12)
CeSmGaRh: optimized geometry, PBE-GGA.

Properties
Density (Mg/m³): 8.17
Magnetic moment (μB/cell): 0.43
ΔH_f (0 K) (eV per atom): -0.676
ΔE to the lowest computed polymorph (meV/atom): 0.0

Structure (CIF):
```
data_CeSmGaRh
_chemical_formula_sum 'Ce2 Sm2 Ga2 Rh2'
_cell_length_a 3.860
_cell_length_b 4.235
_cell_length_c 11.517
_cell_angle_alpha 90.00
_cell_angle_beta 90.00
_cell_angle_gamma 90.00
_space_group_name_H-M_alt 'A m m 2'
_space_group_IT_number 38
loop_
_space_group_symop_operation_xyz
'x,y,z'
'-x,-y,z'
'-x,y,z'
'x,-y,z'
'x,y+1/2,z+1/2'
'-x,-y+1/2,z+1/2'
'-x,y+1/2,z+1/2'
'x,-y+1/2,z+1/2'
loop_
_atom_site_label
_atom_site_fract_x
_atom_site_fract_y
_atom_site_fract_z
_atom_site_occupancy
Ce1 0.000 0.000 0.000 1
Sm1 0.500 0.000 0.720 1
Ga1 0.000 0.000 0.299 1
Rh1 0.500 0.000 0.460 1
```